A.
Density functional theory data (PBE-GGA) for crystalline CdPt2Br at its relaxed geometry.

Structure (POSCAR):
```
CdPt2Br
1.0
-2.923 -0.062 6.924
-4.327 -2.365 5.672
3.015 -2.521 1.255
Pt Br Cd
2 1 1
Direct
0.904 0.904 0.760
0.725 0.725 0.759
0.557 0.557 0.721
0.314 0.314 0.260
```



B.
Density functional theory data (PBE-GGA) for crystalline CdPt2Br at its relaxed geometry.

Structure (POSCAR):
```
CdPt2Br
1.0
4.044 0.000 0.000
0.000 4.044 0.000
2.022 2.022 9.720
Br Pt Cd
2 4 2
Direct
0.500 0.500 0.000
0.250 0.750 0.500
0.633 0.125 0.250
0.117 0.625 0.250
0.375 0.367 0.750
0.875 0.883 0.750
0.000 0.000 0.000
0.750 0.250 0.500
```



Which structure is the least stable? The one labeled B.



A.
Density functional theory data (PBE-GGA) for crystalline CdPtBr2 at its relaxed geometry.

Structure (POSCAR):
```
CdPtBr2
1.0
-1.577 2.990 -1.288
-4.690 -0.679 4.164
2.113 2.301 2.754
Br Pt Cd
2 1 1
Direct
0.000 0.000 0.000
0.500 0.500 0.000
0.000 0.500 0.500
0.500 0.000 0.500
```



B.
Density functional theory data (PBE-GGA) for crystalline CdPtBr2 at its relaxed geometry.

Structure (POSCAR):
```
CdPtBr2
1.0
-2.071 4.611 0.853
-2.424 -2.493 3.766
0.661 1.907 4.729
Br Pt Cd
2 1 1
Direct
0.000 0.000 0.000
0.500 0.500 0.000
0.000 0.500 0.500
0.500 0.000 0.500
```



Which structure is the least stable? The one labeled A.



A.
Density functional theory data (PBE-GGA) for crystalline CdPtBr2 at its relaxed geometry.

Structure (POSCAR):
```
CdPtBr2
1.0
-1.401 3.796 1.131
-1.476 -3.785 1.073
5.878 -0.116 7.669
Br Pt Cd
2 1 1
Direct
0.000 0.000 0.923
0.000 0.000 0.577
0.500 0.500 0.750
0.500 0.500 0.250
```



B.
Density functional theory data (PBE-GGA) for crystalline CdPtBr2 at its relaxed geometry.

Structure (POSCAR):
```
CdPtBr2
1.0
-5.411 4.347 -0.289
-4.698 2.087 4.673
6.694 -1.129 -1.477
Br Pt Cd
2 1 1
Direct
0.000 0.000 0.000
0.250 0.750 0.500
0.750 0.250 0.500
0.500 0.500 0.000
```



Which structure is the least stable? The one labeled B.



A.
Density functional theory data (PBE-GGA) for crystalline CdPtBr2 at its relaxed geometry.

Structure (POSCAR):
```
CdPtBr2
1.0
-4.745 -1.397 -0.650
-1.693 -1.028 -4.579
-1.063 -4.706 -1.268
Br Pt Cd
2 1 1
Direct
0.000 0.000 0.000
0.250 0.250 0.250
0.750 0.750 0.750
0.500 0.500 0.500
```



B.
Density functional theory data (PBE-GGA) for crystalline CdPtBr2 at its relaxed geometry.

Structure (POSCAR):
```
CdPtBr2
1.0
-0.250 -4.451 -1.113
-0.474 -3.434 3.016
-6.954 0.862 -0.590
Br Pt Cd
2 1 1
Direct
0.082 0.082 0.091
0.779 0.779 0.642
0.166 0.166 0.439
0.474 0.474 0.328
```



Which structure is the least stable? The one labeled A.



A.
Density functional theory data (PBE-GGA) for crystalline CdPtBr2 at its relaxed geometry.

Structure (POSCAR):
```
CdPtBr2
1.0
2.392 0.000 7.992
-1.196 2.071 7.992
-1.196 -2.071 7.992
Br Pt Cd
2 1 1
Direct
0.901 0.901 0.901
0.099 0.099 0.099
0.000 0.000 0.000
0.500 0.500 0.500
```



B.
Density functional theory data (PBE-GGA) for crystalline CdPtBr2 at its relaxed geometry.

Structure (POSCAR):
```
CdPtBr2
1.0
-2.958 -1.048 2.740
3.926 -1.365 -0.285
2.726 6.694 5.504
Br Pt Cd
2 1 1
Direct
0.000 0.000 0.928
0.500 0.500 0.305
0.500 0.500 0.747
0.000 0.000 0.521
```



C.
Density functional theory data (PBE-GGA) for crystalline CdPtBr2 at its relaxed geometry.

Structure (POSCAR):
```
CdPtBr2
1.0
-1.105 -4.641 -0.705
3.609 -0.043 -3.199
2.422 -0.994 2.746
Br Pt Cd
2 1 1
Direct
0.000 0.000 0.000
0.500 0.500 0.000
0.000 0.500 0.500
0.500 0.000 0.500
```



D.
Density functional theory data (PBE-GGA) for crystalline CdPtBr2 at its relaxed geometry.

Structure (POSCAR):
```
CdPtBr2
1.0
7.896 0.104 -0.010
5.986 5.150 0.010
-6.802 -2.994 2.669
Br Pt Cd
2 1 1
Direct
0.019 0.019 0.000
0.767 0.267 0.500
0.284 0.784 0.500
0.430 0.430 0.000
```



Which structure is the least stable? The one labeled C.



A.
Density functional theory data (PBE-GGA) for crystalline CdPtBr2 at its relaxed geometry.

Structure (POSCAR):
```
CdPtBr2
1.0
-0.894 1.544 3.383
0.058 -6.394 2.933
4.931 -3.948 3.105
Br Pt Cd
2 1 1
Direct
0.000 0.884 0.884
0.000 0.616 0.616
0.500 0.750 0.750
0.500 0.250 0.250
```



B.
Density functional theory data (PBE-GGA) for crystalline CdPtBr2 at its relaxed geometry.

Structure (POSCAR):
```
CdPtBr2
1.0
0.000 3.527 3.527
3.527 0.000 3.527
3.527 3.527 0.000
Br Pt Cd
2 1 1
Direct
0.250 0.250 0.250
0.750 0.750 0.750
0.500 0.500 0.500
0.000 0.000 0.000
```



Which structure is the least stable? The one labeled B.